[1]
CaV2Ni2 | PBE | optimized geometry

Summary:
Formation energy from the elements ... 12 kJ per mole of atoms
Space group ... No. 139

CIF file:
```
data_CaV2Ni2
_cell_length_a 5.9241
_cell_length_b 5.9241
_cell_length_c 5.9241
_cell_angle_alpha 140.80
_cell_angle_beta 140.80
_cell_angle_gamma 56.63
_symmetry_space_group_name_H-M 'P 1'
_symmetry_Int_Tables_number 1
loop_
_symmetry_equiv_pos_as_xyz
'x,y,z'
loop_
_atom_site_label
_atom_site_type_symbol
_atom_site_fract_x
_atom_site_fract_y
_atom_site_fract_z
Ca1 Ca 0.0000 0.0000 0.0000
V1 V 0.2500 0.7500 0.5000
V2 V 0.7500 0.2500 0.5000
Ni1 Ni 0.3837 0.3837 0.0000
Ni2 Ni 0.6163 0.6163 0.0000
```

[2]
ScCd2Au2 | PBE | optimized geometry

Summary:
Formation energy from the elements ... -29 kJ per mole of atoms
Space group ... No. 127

CIF file:
```
data_ScCd2Au2
_cell_length_a 7.3456
_cell_length_b 7.3456
_cell_length_c 3.9308
_cell_angle_alpha 90.00
_cell_angle_beta 90.00
_cell_angle_gamma 90.00
_symmetry_space_group_name_H-M 'P 1'
_symmetry_Int_Tables_number 1
loop_
_symmetry_equiv_pos_as_xyz
'x,y,z'
loop_
_atom_site_label
_atom_site_type_symbol
_atom_site_fract_x
_atom_site_fract_y
_atom_site_fract_z
Sc1 Sc 0.0000 0.0000 0.0000
Sc2 Sc 0.5000 0.5000 0.0000
Cd1 Cd 0.1671 0.3329 0.5000
Cd2 Cd 0.3329 0.8329 0.5000
Cd3 Cd 0.6671 0.1671 0.5000
Cd4 Cd 0.8329 0.6671 0.5000
Au1 Au 0.1363 0.6363 0.0000
Au2 Au 0.3637 0.1363 0.0000
Au3 Au 0.6363 0.8637 0.0000
Au4 Au 0.8637 0.3637 0.0000
```